VASP calculation (PBE) on an optimized crystal structure of Sm3YHoTm.

```
Sm3YHoTm
1.0
2.5252 -7.5992 0.0000
2.5252 7.5992 0.0000
0.0000 0.0000 10.1262
Sm Y Ho Tm
6 2 2 2
direct
0.1662 0.8338 0.0001 Sm
0.1662 0.8338 0.4999 Sm
0.3330 0.6670 0.7500 Sm
0.6670 0.3330 0.2500 Sm
0.8338 0.1662 0.9999 Sm
0.8338 0.1662 0.5001 Sm
0.0012 0.9988 0.7500 Y
0.9988 0.0012 0.2500 Y
0.5000 0.5000 0.0000 Ho
0.5000 0.5000 0.5000 Ho
0.3338 0.6662 0.2500 Tm
0.6662 0.3338 0.7500 Tm
```

Output
Space-group type: Cmcm (63)
ΔE_f, eV per atom: 0.02